1.
{
  "formula": "Cs2K2Ga",
  "functional": "PBE-GGA",
  "state": "optimized geometry",
  "n_ef_per_ev_cell": 9.10,
  "e_form_ev_per_fu": 0.9,
  "final_energy_ev_per_cell": -12.14,
  "lattice_angstrom": [[-4.3480, -7.3068, -4.1899], [1.8130, -5.4166, 7.5646], [-6.6250, 2.1493, 3.1268]],
  "species": ["Cs", "Cs", "Cs", "Cs", "K", "K", "K", "K", "Ga", "Ga"],
  "frac_coords": [[0.6886, 0.1886, 0.5000], [0.8114, 0.6886, 0.5000], [0.3114, 0.8114, 0.5000], [0.1886, 0.3114, 0.5000], [0.8373, 0.3373, 0.0000], [0.6627, 0.8373, 0.0000], [0.1627, 0.6627, 0.0000], [0.3373, 0.1627, 0.0000], [0.0000, 0.0000, 0.0000], [0.5000, 0.5000, 0.0000]]
}

***

2.
{
  "formula": "Ba3BCl",
  "functional": "PBE-GGA",
  "state": "optimized geometry",
  "raw_formation_energy_mev_per_atom": -108,
  "n_ef_per_ev_cell": 5.43,
  "final_energy_ev_per_cell": -14.83,
  "relative_energy_ev_per_atom": 0.000,
  "lattice_angstrom": [[6.0052, 0.0000, 0.0000], [0.0000, 6.0052, 0.0000], [0.0000, 0.0000, 6.0052]],
  "species": ["B", "Ba", "Ba", "Ba", "Cl"],
  "frac_coords": [[0.0000, 0.0000, 0.0000], [0.0000, 0.5000, 0.0000], [0.0000, 0.0000, 0.5000], [0.5000, 0.0000, 0.0000], [0.5000, 0.5000, 0.5000]]
}

***

3.
{
  "formula": "TcBPS2",
  "functional": "PBE-GGA",
  "state": "optimized geometry",
  "raw_formation_energy_mev_per_atom": 1254,
  "n_ef_per_ev_cell": 4.71,
  "final_energy_ev_per_cell": -24.44,
  "relative_energy_ev_per_atom": 0.352,
  "lattice_angstrom": [[4.6577, 0.0000, 0.0000], [0.0000, 4.6577, 0.0000], [0.0000, 0.0000, 4.5724]],
  "species": ["P", "S", "S", "B", "Tc"],
  "frac_coords": [[0.0000, 0.0000, 0.5000], [0.0000, 0.5000, 0.0000], [0.5000, 0.0000, 0.0000], [0.5000, 0.5000, 0.5000], [0.0000, 0.0000, 0.0000]]
}

***

4.
{
  "formula": "Ca4NiAu",
  "functional": "PBE-GGA",
  "state": "optimized geometry",
  "n_ef_per_ev_cell": 8.36,
  "e_form_ev_per_fu": 3.7,
  "final_energy_ev_per_cell": -13.35,
  "relative_energy_ev_per_atom": 0.963,
  "lattice_angstrom": [[-2.1347, -5.7926, 1.1148], [-6.0152, -1.3935, -1.1088], [-1.5178, -3.7589, -4.7875]],
  "species": ["Ca", "Ca", "Ca", "Ca", "Ni", "Au"],
  "frac_coords": [[0.8745, 0.3752, 0.3752], [0.3752, 0.3752, 0.8745], [0.3752, 0.8745, 0.3752], [0.3752, 0.3752, 0.3752], [0.7500, 0.7500, 0.7500], [0.0000, 0.0000, 0.0000]]
}

***

5.
{
  "formula": "LiLaPd2",
  "functional": "PBE-GGA",
  "state": "optimized geometry",
  "n_ef_per_ev_cell": 1.14,
  "e_form_ev_per_fu": -2.4,
  "final_energy_ev_per_cell": -19.59,
  "lattice_angstrom": [[3.6111, 0.0000, 0.0000], [0.0000, 3.6111, 0.0000], [0.0000, 0.0000, 6.0816]],
  "species": ["Li", "Pd", "Pd", "La"],
  "frac_coords": [[0.5000, 0.5000, 0.0000], [0.0000, 0.0000, 0.7729], [0.0000, 0.0000, 0.2271], [0.5000, 0.5000, 0.5000]]
}

***

6.
{
  "formula": "TmMgCu",
  "functional": "PBE-GGA",
  "state": "optimized geometry",
  "n_ef_per_ev_cell": 2.10,
  "e_form_ev_per_fu": -0.4,
  "final_energy_ev_per_cell": -10.52,
  "lattice_angstrom": [[3.3162, 0.0000, 0.0000], [0.0000, 3.3162, 0.0000], [-1.6581, -1.6581, 5.7302]],
  "species": ["Mg", "Tm", "Cu"],
  "frac_coords": [[0.0274, 0.0274, 0.0549], [0.3108, 0.3108, 0.6216], [0.6617, 0.6617, 0.3235]]
}

***

7.
{
  "formula": "La8PrNd6",
  "functional": "PBE-GGA",
  "state": "optimized geometry",
  "n_ef_per_ev_cell": 25.10,
  "e_form_ev_per_fu": 3.1,
  "final_energy_ev_per_cell": -69.73,
  "relative_energy_ev_per_atom": 0.081,
  "lattice_angstrom": [[-2.9593, 5.0362, 6.7409], [5.6185, 0.5234, 6.9079], [4.1262, 7.8711, 0.7632]],
  "species": ["La", "La", "La", "La", "La", "La", "La", "La", "Pr", "Nd", "Nd", "Nd", "Nd", "Nd", "Nd"],
  "frac_coords": [[0.1834, 0.5756, 0.8667], [0.1333, 0.8166, 0.4244], [0.4244, 0.1333, 0.8166], [0.7623, 0.7623, 0.7623], [0.2377, 0.2377, 0.2377], [0.5756, 0.8667, 0.1834], [0.8667, 0.1834, 0.5756], [0.8166, 0.4244, 0.1333], [0.0000, 0.0000, 0.0000], [0.0931, 0.3674, 0.6548], [0.3452, 0.9069, 0.6326], [0.6326, 0.3452, 0.9069], [0.3674, 0.6548, 0.0931], [0.6548, 0.0931, 0.3674], [0.9069, 0.6326, 0.3452]]
}

***

8.
{
  "formula": "Ac4CeRe3N12",
  "functional": "PBE-GGA",
  "state": "optimized geometry",
  "raw_formation_energy_mev_per_atom": -638,
  "n_ef_per_ev_cell": 12.12,
  "final_energy_ev_per_cell": -172.38,
  "lattice_angstrom": [[-3.4775, -1.5102, -6.0774], [7.0586, -0.0265, -1.2182], [-1.5876, -4.9302, 4.9478]],
  "species": ["Ac", "Ac", "Ac", "Ac", "Ce", "Re", "Re", "Re", "N", "N", "N", "N", "N", "N", "N", "N", "N", "N", "N", "N"],
  "frac_coords": [[0.5000, 0.5000, 0.5000], [0.0000, 0.0000, 0.5000], [0.5000, 0.0000, 0.0000], [0.0000, 0.5000, 0.0000], [0.0000, 0.0000, 0.0000], [0.5000, 0.0000, 0.5000], [0.5000, 0.5000, 0.0000], [0.0000, 0.5000, 0.5000], [0.2500, 0.5000, 0.7500], [0.7318, 0.0000, 0.7318], [0.2682, 0.0000, 0.2682], [0.7500, 0.5000, 0.2500], [0.7318, 0.7318, 0.0000], [0.2682, 0.2682, 0.0000], [0.7500, 0.2500, 0.5000], [0.2500, 0.7500, 0.5000], [0.5000, 0.2500, 0.7500], [0.0000, 0.7318, 0.7318], [0.5000, 0.7500, 0.2500], [0.0000, 0.2682, 0.2682]]
}